# 1
Material: SrYTl2
Method: DFT, meta-GGA SCAN
State: PBEsol geometry

Cell: 3.791 5.506 5.507 Å, 90.00 90.00 90.00°
Space group Pmm2 (No. 25)
Symmetry-distinct sites (fractional):
Sr1 0.000 0.000 0.000 (multiplicity 1)
Y1 0.000 0.500 0.498 (multiplicity 1)
Tl1 0.500 0.000 0.500 (multiplicity 1)
Tl2 0.500 0.500 0.997 (multiplicity 1)

Calculated values
The formation energy from the elements is -0.5715 eV/atom.


# 2
Material: Hf2GaSiTc
Method: DFT, meta-GGA SCAN
State: PBEsol geometry

Cell: 4.801 4.801 4.439 Å, 90.00 90.00 90.00°
Space group P4/mmm (No. 123)
Symmetry-distinct sites (fractional):
Hf1 0.000 0.500 0.000 (multiplicity 2)
Ga1 0.000 0.000 0.000 (multiplicity 1)
Si1 0.500 0.500 0.500 (multiplicity 1)
Tc1 0.000 0.000 0.500 (multiplicity 1)

Calculated values
The calculation puts the raw formation energy at 833 meV per atom.


# 3
Material: AlCu3
Method: DFT, meta-GGA SCAN
State: PBEsol geometry

Cell: 4.170 5.117 4.464 Å, 90.00 90.00 90.00°
Space group Pmmn (No. 59, origin choice 2)
Symmetry-distinct sites (fractional):
Al1 0.250 0.250 0.164 (multiplicity 2)
Cu1 0.250 0.501 0.663 (multiplicity 4)
Cu2 0.250 0.750 0.167 (multiplicity 2)

Calculated values
The formation energy from the elements is -0.2637 eV/atom.


# 4
Material: CaMgTc2
Method: DFT, meta-GGA SCAN
State: PBEsol geometry

Cell: 3.854 3.854 9.306 Å, 90.00 90.00 90.00°
Space group I4/mmm (No. 139)
Symmetry-distinct sites (fractional):
Ca1 0.000 0.000 0.000 (multiplicity 2)
Mg1 0.000 0.000 0.500 (multiplicity 2)
Tc1 0.000 0.500 0.250 (multiplicity 4)

Calculated values
The formation energy from the elements is 0.5886 eV/atom.


# 5
Material: BaLiI2N
Method: DFT, meta-GGA SCAN
State: PBEsol geometry

Cell: 5.671 5.671 4.263 Å, 90.00 90.00 90.00°
Space group P4/mmm (No. 123)
Symmetry-distinct sites (fractional):
Ba1 0.000 0.000 0.000 (multiplicity 1)
Li1 0.500 0.500 0.500 (multiplicity 1)
I1 0.000 0.500 0.500 (multiplicity 2)
N1 0.500 0.500 0.000 (multiplicity 1)

Calculated values
The calculation puts the raw formation energy at -623 meV per atom.


# 6
Material: Li3RhSe
Method: DFT, meta-GGA SCAN
State: PBEsol geometry

Cell: 4.469 4.469 4.469 Å, 90.00 90.00 90.00°
Space group Pm-3m (No. 221)
Symmetry-distinct sites (fractional):
Li1 0.000 0.000 0.500 (multiplicity 3)
Rh1 0.000 0.000 0.000 (multiplicity 1)
Se1 0.500 0.500 0.500 (multiplicity 1)

Calculated values
The calculation puts the raw formation energy at 189 meV per atom.


# 7
Material: ZnRhBr3
Method: DFT, meta-GGA SCAN
State: PBEsol geometry

Cell: 4.955 4.955 4.955 Å, 90.00 90.00 90.00°
Space group Pm-3m (No. 221)
Symmetry-distinct sites (fractional):
Zn1 0.000 0.000 0.000 (multiplicity 1)
Rh1 0.500 0.500 0.500 (multiplicity 1)
Br1 0.000 0.500 0.500 (multiplicity 3)

Calculated values
The calculation puts the raw formation energy at 37 meV per atom.


# 8
Material: YRuPb2
Method: DFT, meta-GGA SCAN
State: PBEsol geometry

Cell: 3.4709 3.4709 26.6673 Å, 90.00 90.00 120.00°
Space group R-3m (No. 166, hexagonal axes)
Symmetry-distinct sites (fractional):
Y1 0.0000 0.0000 0.0000 (multiplicity 3)
Ru1 0.0000 0.0000 0.5000 (multiplicity 3)
Pb1 0.0000 0.0000 0.2373 (multiplicity 6)

Calculated values
The formation energy from the elements is 0.1257 eV/atom.


| no. | V (Å³ per cell) |
| --- | --- |
| 1 | 114.9 |
| 2 | 102.3 |
| 3 | 95.3 |
| 4 | 138.2 |
| 5 | 137.1 |
| 6 | 89.3 |
| 7 | 121.7 |
| 8 | 278.2 |